Entry from the Alexandria database: crystalline KMnPb2O4 at its relaxed geometry (PBE with a Hubbard U).

Output
SG   No. 74
E   -89.34 eV/cell

a = 7.0981 Å, b = 7.0981 Å, c = 7.0981 Å
α = 118.43°, β = 105.19°, γ = 105.18°
Last column: nearest neighbours and their distance in Å.
Positions (direct):
K  0.0000  0.0000  0.0000  8 O 2.83-2.96
K  0.5000  0.0000  0.5000  8 O 2.83-2.96
Mn  0.5000  0.0000  0.0000  4 O 1.93
Mn  0.5000  0.5000  0.5000  4 O 1.93
Pb  0.0000  0.0000  0.5000  4 O 2.38-2.40
Pb  0.0000  0.5000  0.0000  4 O 2.38-2.40
Pb  0.0000  0.5000  0.5000  8 O 2.70-2.83
Pb  0.5000  0.5000  0.0000  8 O 2.70-2.83
O  0.2762  0.0000  0.7762  1 Mn 1.93
O  0.2762  0.5000  0.2762  1 Mn 1.93
O  0.2770  0.3052  0.5282  1 Mn 1.93
O  0.2770  0.7489  0.9718  1 Mn 1.93
O  0.7230  0.2511  0.0282  1 Mn 1.93
O  0.7230  0.6948  0.4718  1 Mn 1.93
O  0.7238  0.0000  0.2238  1 Mn 1.93
O  0.7238  0.5000  0.7238  1 Mn 1.93